Record 1
# TmHF

An optimized crystal structure of TmHF (PBE, Alexandria).

Computed properties:
The polymorph energy (0 for the lowest one) is 0 meV per atom. As for the density of states at the Fermi level: 2.53 states/eV/cell. For the total moment, the calculation gives 0.00 μB/f.u.

Structure (CIF):
```
data_TmHF
_chemical_formula_sum 'Tm4 H4 F4'
_space_group_name_H-M_alt 'P n m a'
_space_group_IT_number 62
_cell_length_a 7.3724
_cell_length_b 3.5995
_cell_length_c 5.5370
_cell_angle_alpha 90.00
_cell_angle_beta 90.00
_cell_angle_gamma 90.00
loop_
_space_group_symop_operation_xyz
'x,y,z'
'-x,-y,-z'
'-x+1/2,-y,z+1/2'
'x+1/2,y,-z+1/2'
'x+1/2,-y+1/2,-z+1/2'
'-x+1/2,y+1/2,z+1/2'
'-x,y+1/2,-z'
'x,-y+1/2,z'
loop_
_atom_site_label
_atom_site_type_symbol
_atom_site_fract_x
_atom_site_fract_y
_atom_site_fract_z
Tm1 Tm 0.1201 0.2500 0.2196
H1 H 0.1269 0.7500 0.9900
F1 F 0.1163 0.7500 0.4979
```

Record 2
# ReAsRu2

An optimized crystal structure of ReAsRu2 (PBE, Alexandria).

Computed properties:
The value obtained for the formation energy is 0.23 eV/atom. As for the density of states at the Fermi level: 8.03 states/eV/cell. For the total moment, the calculation gives 0.00 μB/f.u.

Structure (CIF):
```
data_ReAsRu2
_chemical_formula_sum 'Re2 As2 Ru4'
_space_group_name_H-M_alt 'I 4/m m m'
_space_group_IT_number 139
_space_group_name_Hall '-I 4 2'
_cell_length_a 3.8803
_cell_length_b 3.8803
_cell_length_c 7.6286
_cell_angle_alpha 90.00
_cell_angle_beta 90.00
_cell_angle_gamma 90.00
loop_
_atom_site_label
_atom_site_type_symbol
_atom_site_fract_x
_atom_site_fract_y
_atom_site_fract_z
Re1 Re 0.0000 0.0000 0.0000
As1 As 0.0000 0.0000 0.5000
Ru1 Ru 0.0000 0.5000 0.2500
```

Record 3
# PmSi2Pt7

An optimized crystal structure of PmSi2Pt7 (PBE, Alexandria).

Computed properties:
The value obtained for the uncorrected energy is -125.88 eV per cell. As for the density of states at the Fermi level: 3.42 states/eV/cell. For the total moment, the calculation gives 0.00 μB/f.u.

Structure (CIF):
```
data_PmSi2Pt7
_chemical_formula_sum 'Pm2 Si4 Pt14'
_space_group_name_H-M_alt 'C m m m'
_space_group_IT_number 65
_space_group_name_Hall '-C 2 2'
_cell_length_a 7.3061
_cell_length_b 11.8206
_cell_length_c 4.5116
_cell_angle_alpha 90.00
_cell_angle_beta 90.00
_cell_angle_gamma 90.00
loop_
_atom_site_label
_atom_site_type_symbol
_atom_site_fract_x
_atom_site_fract_y
_atom_site_fract_z
Pm1 Pm 0.0000 0.0000 0.0000
Si1 Si 0.0000 0.3011 0.5000
Pt1 Pt 0.0000 0.2402 0.0000
Pt2 Pt 0.0000 0.5000 0.5000
Pt3 Pt 0.1924 0.1243 0.5000
```

Record 4
# Rb3Pm3HfTe8

An optimized crystal structure of Rb3Pm3HfTe8 (PBE, Alexandria).

Computed properties:
The value obtained for the uncorrected energy is -214.01 eV per cell. For the total moment, the calculation gives 0.00 μB/f.u.

Structure (CIF):
```
data_Rb3Pm3HfTe8
_chemical_formula_sum 'Rb9 Pm9 Hf3 Te24'
_space_group_name_H-M_alt 'R -3 m'
_space_group_IT_number 166
_space_group_name_Hall '-R 3 2"'
_cell_length_a 8.9708
_cell_length_b 8.9708
_cell_length_c 26.3586
_cell_angle_alpha 90.00
_cell_angle_beta 90.00
_cell_angle_gamma 120.00
loop_
_atom_site_label
_atom_site_type_symbol
_atom_site_fract_x
_atom_site_fract_y
_atom_site_fract_z
Rb1 Rb 0.0000 0.5000 0.0000
Pm1 Pm 0.0000 0.5000 0.5000
Hf1 Hf 0.0000 0.0000 0.5000
Te1 Te 0.0000 0.0000 0.2350
Te2 Te 0.0221 0.5111 0.2310
```

Record 5
# RbVCd2

An optimized crystal structure of RbVCd2 (PBE, Alexandria).

Computed properties:
The value obtained for the formation energy is 0.67 eV/atom. The polymorph energy (0 for the lowest one) is 0 meV per atom. As for the density of states at the Fermi level: 17.54 states/eV/cell. For the total moment, the calculation gives 4.14 μB/f.u.

Structure (CIF):
```
data_RbVCd2
_chemical_formula_sum 'Rb4 V4 Cd8'
_space_group_name_H-M_alt 'I -4 2 d'
_space_group_IT_number 122
_space_group_name_Hall 'I -4 2bw'
_cell_length_a 5.6598
_cell_length_b 5.6598
_cell_length_c 19.6308
_cell_angle_alpha 90.00
_cell_angle_beta 90.00
_cell_angle_gamma 90.00
loop_
_atom_site_label
_atom_site_type_symbol
_atom_site_fract_x
_atom_site_fract_y
_atom_site_fract_z
Rb1 Rb 0.0000 0.0000 0.0000
V1 V 0.0000 0.0000 0.5000
Cd1 Cd 0.0314 0.2500 0.6250
```

Record 6
# Pr2Nd5Dy12

An optimized crystal structure of Pr2Nd5Dy12 (PBE, Alexandria).

Computed properties:
The value obtained for the formation energy is 0.17 eV/atom. The polymorph energy (0 for the lowest one) is 77 meV per atom. As for the density of states at the Fermi level: 56.31 states/eV/cell. For the total moment, the calculation gives 0.00 μB/f.u.

Structure (CIF):
```
data_Pr2Nd5Dy12
_chemical_formula_sum 'Pr4 Nd10 Dy24'
_space_group_name_H-M_alt 'C 1 2/m 1'
_space_group_IT_number 12
_cell_length_a 18.4076
_cell_length_b 7.1105
_cell_length_c 10.4502
_cell_angle_alpha 90.00
_cell_angle_beta 111.10
_cell_angle_gamma 90.00
loop_
_space_group_symop_operation_xyz
'x,y,z'
'-x,-y,-z'
'-x,y,-z'
'x,-y,z'
'x+1/2,y+1/2,z'
'-x+1/2,-y+1/2,-z'
'-x+1/2,y+1/2,-z'
'x+1/2,-y+1/2,z'
loop_
_atom_site_label
_atom_site_type_symbol
_atom_site_fract_x
_atom_site_fract_y
_atom_site_fract_z
Pr1 Pr 0.0000 0.2217 0.0000
Nd1 Nd 0.0000 0.5000 0.5000
Nd2 Nd 0.1807 0.0000 0.2131
Nd3 Nd 0.1893 0.5000 0.1846
Dy1 Dy 0.0038 0.0000 0.6714
Dy2 Dy 0.0262 0.5000 0.2465
Dy3 Dy 0.1585 0.2532 0.8683
Dy4 Dy 0.1630 0.2469 0.5217
```

Record 7
# LiLaBeRu2

An optimized crystal structure of LiLaBeRu2 (PBE, Alexandria).

Computed properties:
The value obtained for the formation energy is 0.02 eV/atom. As for the density of states at the Fermi level: 6.37 states/eV/cell. For the total moment, the calculation gives 0.25 μB/f.u.

Structure (CIF):
```
data_LiLaBeRu2
_chemical_formula_sum 'Li1 La1 Be1 Ru2'
_space_group_name_H-M_alt 'P 4/m m m'
_space_group_IT_number 123
_space_group_name_Hall '-P 4 2'
_cell_length_a 4.3716
_cell_length_b 4.3716
_cell_length_c 4.2994
_cell_angle_alpha 90.00
_cell_angle_beta 90.00
_cell_angle_gamma 90.00
loop_
_atom_site_label
_atom_site_type_symbol
_atom_site_fract_x
_atom_site_fract_y
_atom_site_fract_z
Li1 Li 0.0000 0.0000 0.0000
La1 La 0.5000 0.5000 0.0000
Be1 Be 0.0000 0.0000 0.5000
Ru1 Ru 0.0000 0.5000 0.5000
```

Record 8
# La3TbDy3S8

An optimized crystal structure of La3TbDy3S8 (PBE, Alexandria).

Computed properties:
The value obtained for the uncorrected energy is -293.51 eV per cell. As for the density of states at the Fermi level: 22.55 states/eV/cell. For the total moment, the calculation gives 0.00 μB/f.u.

Structure (CIF):
```
data_La3TbDy3S8
_chemical_formula_sum 'La9 Tb3 Dy9 S24'
_space_group_name_H-M_alt 'R -3 m'
_space_group_IT_number 166
_space_group_name_Hall '-R 3 2"'
_cell_length_a 7.9602
_cell_length_b 7.9602
_cell_length_c 20.0545
_cell_angle_alpha 90.00
_cell_angle_beta 90.00
_cell_angle_gamma 120.00
loop_
_atom_site_label
_atom_site_type_symbol
_atom_site_fract_x
_atom_site_fract_y
_atom_site_fract_z
La1 La 0.0000 0.5000 0.0000
Tb1 Tb 0.0000 0.0000 0.5000
Dy1 Dy 0.0000 0.5000 0.5000
S1 S 0.0000 0.0000 0.2435
S2 S 0.0026 0.5013 0.7559
```

Among the records above, which one has the highest total moment?
RbVCd2

Among the records above, which one has the highest total moment?
RbVCd2